1.
DFT (PBE) results for an optimized crystal structure of Cs2LiCl.

a = 4.3691 Å, b = 4.3691 Å, c = 10.0195 Å
α = 90.00°, β = 90.00°, γ = 90.00°
Closest atoms and distances in Å follow each position.
Space group P4/mmm (No. 123)
Symmetry-distinct sites (fractional):
Cs 0.0000 0.0000 0.2027  4 Cl 3.70, 1 Cs 4.06
Li 0.5000 0.5000 0.5000  8 Cs 4.29, 4 Li 4.37
Cl 0.5000 0.5000 0.0000  8 Cs 3.70

=====

2.
DFT (PBE) results for an optimized crystal structure of CsLiCl2.

a = 4.2131 Å, b = 4.2131 Å, c = 26.4214 Å
α = 90.00°, β = 90.00°, γ = 120.00°
Closest atoms and distances in Å follow each position.
Space group R-3m (No. 166, hexagonal axes)
Symmetry-distinct sites (fractional):
Cs 0.0000 0.0000 0.0000  2 Cl 3.07
Li 0.0000 0.0000 0.5000  6 Cl 2.78
Cl 0.0000 0.0000 0.1160  3 Li 2.78, 1 Cs 3.07

=====

In meV per atom, the formation energy without anion corrections values for the records above are, in order, -804; -1454.
In eV per atom, the final energy values for the records above are, in order, -2.1707; -3.0694.